24
Lattice="7.7554 0.0000 0.0000 0.0000 6.8991 0.0000 -1.6624 0.0000 9.0520" Properties=species:S:1:pos:R:3 comment="Pu3Si2Au (PBE, optimized geometry)" e_form_raw_ev_per_atom=-0.297 volume_a3_per_cell=484.33 sg=P2_1/c pbc="T T T"
Pu 0.3860 1.3260 3.8750
Pu -0.4452 2.1236 8.4010
Pu 1.4650 3.6082 1.4098
Pu 0.6338 6.7406 5.9358
Pu 1.5999 0.1321 0.9150
Pu 0.7687 3.3175 5.4411
Pu 5.3243 3.5817 3.6110
Pu 4.4931 6.7670 8.1370
Pu 5.4592 0.1586 3.1162
Pu 4.6280 3.2910 7.6422
Pu 6.5382 4.7755 0.6510
Pu 5.7071 5.5732 5.1770
Si -0.7708 5.0259 7.8069
Si 0.0603 5.3229 3.2808
Si 2.1427 1.6642 7.5334
Si 2.9739 1.7854 3.0074
Si 3.1191 5.1137 6.0446
Si 3.9503 5.2350 1.5186
Si 6.0327 1.5763 5.7712
Si 6.8639 1.8733 1.2452
Au 1.7800 4.7171 8.1821
Au 2.6112 5.6317 3.6561
Au 3.4818 1.2675 5.3959
Au 4.3130 2.1821 0.8699

***

11
Lattice="7.3242 -2.3435 0.0000 7.3242 2.3435 0.0000 -3.9869 0.0000 6.5399" Properties=species:S:1:pos:R:3 comment="Li8CdBi2 (PBE, optimized geometry)" formation_energy_ev_per_atom=-0.375 volume_a3_per_cell=224.51 sg=C2/m pbc="T T T"
Li -1.1817 0.0000 1.9799
Li 1.6380 0.0000 0.9504
Li 2.8393 0.0000 3.5898
Li 4.5091 0.0000 0.9251
Li 6.1523 0.0000 5.6149
Li 7.8222 0.0000 2.9501
Li 9.0235 0.0000 5.5895
Li 11.8432 0.0000 4.5601
Cd 7.3242 0.0000 0.0000
Bi 0.0978 0.0000 4.5731
Bi 10.5636 0.0000 1.9669

***

4
Lattice="1.7523 1.0117 12.5071 -1.7523 1.0117 12.5071 0.0000 -2.0234 12.5071" Properties=species:S:1:pos:R:3 comment="Eu2YSc (PBE, optimized geometry)" formation_energy_ev_per_atom=0.295 polymorph_energy_mev_per_atom=123 volume_a3_per_cell=133.04 sg=R-3m pbc="T T T"
Eu 0.0000 0.0000 3.1505
Eu 0.0000 0.0000 34.3707
Y 0.0000 0.0000 18.7606
Sc 0.0000 0.0000 0.0000

***

5
Lattice="5.2090 0.0000 0.0000 0.0000 5.2090 0.0000 0.0000 0.0000 5.2090" Properties=species:S:1:pos:R:3 comment="BaMo3Pb (PBE, optimized geometry)" formation_energy_ev_per_atom=2.136 polymorph_energy_mev_per_atom=0 volume_a3_per_cell=141.34 sg=Pm-3m pbc="T T T"
Ba 0.0000 0.0000 0.0000
Mo 0.0000 2.6045 2.6045
Mo 2.6045 0.0000 2.6045
Mo 2.6045 2.6045 0.0000
Pb 2.6045 2.6045 2.6045

***

4
Lattice="3.3238 0.0000 0.0000 0.0000 3.3238 0.0000 0.0000 0.0000 6.1812" Properties=species:S:1:pos:R:3 comment="Zn2AsAu (PBE, optimized geometry)" formation_energy_ev_per_atom=0.065 volume_a3_per_cell=68.29 sg=P4/mmm pbc="T T T"
Zn 0.0000 0.0000 1.4921
Zn 0.0000 0.0000 4.6891
As 1.6619 1.6619 3.0906
Au 1.6619 1.6619 0.0000

***

6
Lattice="0.0000 3.7001 3.7001 3.7001 0.0000 3.7001 3.7001 3.7001 0.0000" Properties=species:S:1:pos:R:3 comment="ZrAsOs4 (PBE, optimized geometry)" formation_energy_ev_per_atom=0.314 volume_a3_per_cell=101.32 sg=F-43m pbc="T T T"
Zr 0.0000 0.0000 0.0000
As 5.5502 5.5502 5.5502
Os 2.7770 2.7770 2.7770
Os 4.6232 4.6232 2.7770
Os 4.6232 2.7770 4.6232
Os 2.7770 4.6232 4.6232

***

19
Lattice="7.3180 4.2250 3.9600 -7.3180 4.2250 3.9600 0.0000 -8.4501 3.9600" Properties=species:S:1:pos:R:3 comment="BaAc12Si6 (PBE, optimized geometry)" e_form_raw_ev_per_atom=-0.262 volume_a3_per_cell=734.62 sg=R-3m pbc="T T T"
Ba 0.0000 0.0000 0.0000
Ac -2.7363 -4.7394 5.9400
Ac -5.4725 0.0000 5.9400
Ac -1.9957 -1.1522 4.3126
Ac 1.9957 -1.1522 4.3126
Ac 0.0000 2.3044 4.3126
Ac 2.7363 -4.7394 5.9400
Ac -2.7363 4.7394 5.9400
Ac 0.0000 -2.3044 7.5673
Ac -1.9957 1.1522 7.5673
Ac 1.9957 1.1522 7.5673
Ac 5.4726 0.0000 5.9400
Ac 2.7363 4.7394 5.9400
Si 0.0000 -3.7393 4.6616
Si -3.2383 1.8696 4.6616
Si -3.2383 -1.8696 7.2184
Si 3.2383 1.8696 4.6616
Si 3.2383 -1.8696 7.2183
Si 0.0000 3.7392 7.2183

***

12
Lattice="3.0343 -5.0075 0.0000 3.0343 5.0075 0.0000 -2.2425 0.0000 6.4900" Properties=species:S:1:pos:R:3 comment="Rb3Tm2PtO6 (PBE, optimized geometry)" e_form_raw_ev_per_atom=-2.015 volume_a3_per_cell=197.22 sg=C2/m pbc="T T T"
Rb 0.0000 0.0000 0.0000
Rb 3.0343 1.6502 0.0000
Rb 3.0343 -1.6502 0.0000
Tm 1.9130 3.3639 3.2450
Tm 1.9130 -3.3639 3.2450
Pt 1.9130 0.0000 3.2450
O 0.9486 1.5934 2.1798
O -0.3685 0.0000 4.5395
O 0.9486 -1.5934 2.1798
O 2.8774 1.5934 4.3102
O 4.1946 0.0000 1.9506
O 2.8774 -1.5934 4.3102